(1)
Entry from the Alexandria database: a PBEsol-optimized structure of AlHgW2 (meta-GGA SCAN).

Output
* energy relative to the lowest polymorph listed for this composition: 0.000 eV/atom

Structure (POSCAR):
```
AlHgW2
1.0
2.850 0.000 0.000
1.425 2.468 0.000
1.425 0.823 9.497
Hg W Al
1 2 1
direct
0.248 0.248 0.255
0.004 0.004 0.988
0.752 0.752 0.743
0.495 0.495 0.514
```

(2)
Entry from the Alexandria database: a PBEsol-optimized structure of ZnCo2Cl (meta-GGA SCAN).

Output
* energy relative to the lowest polymorph listed for this composition: 0.127 eV/atom
* formation energy (no corrections): 167 meV/atom

Structure (POSCAR):
```
ZnCo2Cl
1.0
-1.803 -1.983 0.809
0.710 -1.794 2.028
-3.158 3.340 5.993
Zn Co Cl
1 2 1
direct
0.500 0.500 0.500
0.746 0.746 0.761
0.254 0.254 0.239
0.000 0.000 0.000
```

(3)
Entry from the Alexandria database: a PBEsol-optimized structure of KRe2Tc (meta-GGA SCAN).

Output
* energy relative to the lowest polymorph listed for this composition: 0.780 eV/atom

Structure (POSCAR):
```
KRe2Tc
1.0
4.469 0.000 0.000
2.235 3.870 0.000
2.235 1.290 3.649
Re Tc K
2 1 1
direct
0.250 0.250 0.250
0.750 0.750 0.750
0.500 0.500 0.500
0.000 0.000 0.000
```

(4)
Entry from the Alexandria database: a PBEsol-optimized structure of LiMoPt4 (meta-GGA SCAN).

Structure (POSCAR):
```
LiMoPt4
1.0
-1.926 3.453 3.305
-0.030 -1.008 5.054
3.150 2.578 3.160
Li Pt Mo
1 4 1
direct
0.250 0.250 0.250
0.126 0.625 0.625
0.625 0.126 0.625
0.625 0.625 0.625
0.625 0.625 0.126
0.000 0.000 0.000
```

(5)
Entry from the Alexandria database: a PBEsol-optimized structure of Li2TeF (meta-GGA SCAN).

Output
* formation energy (no corrections): -1764 meV/atom

Structure (POSCAR):
```
Li2TeF
1.0
-5.042 0.138 2.680
-0.015 -0.200 -5.708
-3.259 -4.686 -0.198
Li Te F
4 2 2
direct
0.844 0.719 0.625
0.656 0.125 0.719
0.156 0.531 0.125
0.344 0.625 0.531
0.500 0.250 0.250
0.000 0.000 0.000
0.000 0.500 0.500
0.500 0.750 0.750
```

(6)
Entry from the Alexandria database: a PBEsol-optimized structure of DyH3 (meta-GGA SCAN).

Structure (POSCAR):
```
DyH3
1.0
-3.661 -4.461 -2.311
5.733 0.802 -2.268
2.303 -4.147 4.356
Dy H
6 18
direct
0.664 0.000 0.250
0.336 0.336 0.250
0.336 0.000 0.750
0.000 0.336 0.750
0.000 0.664 0.250
0.664 0.664 0.750
0.667 0.333 0.323
0.025 0.347 0.406
0.653 0.975 0.906
0.975 0.653 0.594
0.653 0.678 0.406
0.333 0.667 0.677
0.025 0.678 0.906
0.000 0.000 0.250
0.322 0.347 0.906
0.975 0.322 0.094
0.000 0.000 0.750
0.678 0.653 0.094
0.333 0.667 0.177
0.678 0.025 0.594
0.347 0.025 0.094
0.667 0.333 0.823
0.347 0.322 0.594
0.322 0.975 0.406
```

(7)
Entry from the Alexandria database: a PBEsol-optimized structure of TlRuRh (meta-GGA SCAN).

Structure (POSCAR):
```
TlRuRh
1.0
2.843 0.000 0.000
0.000 4.453 0.000
0.000 -2.227 3.856
Rh Tl Ru
1 1 1
direct
0.048 0.000 0.000
0.300 0.667 0.333
0.653 0.333 0.667
```

(8)
Entry from the Alexandria database: a PBEsol-optimized structure of Hf3BiSe (meta-GGA SCAN).

Output
* formation energy (no corrections): 187 meV/atom

Structure (POSCAR):
```
Hf3BiSe
1.0
4.922 0.000 0.000
0.000 4.922 0.000
0.000 0.000 4.922
Se Hf Bi
1 3 1
direct
0.000 0.000 0.000
0.000 0.500 0.000
0.500 0.000 0.000
0.000 0.000 0.500
0.500 0.500 0.500
```

What DFT total energy values result from the calculations? In sequence: -213.53, -55.43, -178.95, -318.53, -105.25, -366.06, -139.23, -285.74 eV per cell.